## Ag3ICl4 (PBE)

Data for Ag3ICl4 after structural relaxation.

a = 7.720 Å, b = 7.895 Å, c = 8.717 Å
α = 107.19°, β = 90.00°, γ = 119.27°
Fractional coordinates of all 16 atoms:
I 0.578 0.971 0.729
I 0.394 0.971 0.229
Ag 0.679 0.383 0.887
Ag 0.704 0.383 0.387
Ag 0.269 0.563 0.584
Ag 0.294 0.563 0.084
Ag 0.906 0.937 0.802
Ag 0.032 0.937 0.302
Cl 0.259 0.219 0.947
Cl 0.960 0.219 0.447
Cl 0.534 0.378 0.629
Cl 0.844 0.378 0.129
Cl 0.132 0.569 0.842
Cl 0.436 0.569 0.342
Cl 0.984 0.759 0.529
Cl 0.775 0.759 0.029

## Properties
- Formation energy from raw total energies: -0.318 eV/atom
- Final energy: -40.07 eV for the cell shown

## Pr3YEr12 (PBE)

Data for Pr3YEr12 after structural relaxation.

a = 5.024 Å, b = 5.024 Å, c = 20.102 Å
α = 90.00°, β = 90.00°, γ = 90.00°
Fractional coordinates of all 16 atoms:
Pr 0.000 0.000 0.249
Pr 0.000 0.000 0.500
Pr 0.000 0.000 0.751
Y 0.000 0.000 0.000
Er 0.500 0.500 0.000
Er 0.500 0.500 0.249
Er 0.500 0.500 0.500
Er 0.500 0.500 0.751
Er 0.500 0.000 0.123
Er 0.500 0.000 0.374
Er 0.500 0.000 0.626
Er 0.500 0.000 0.877
Er 0.000 0.500 0.123
Er 0.000 0.500 0.374
Er 0.000 0.500 0.626
Er 0.000 0.500 0.877

## Properties
- Energy of formation from the pure elements: 0.027 eV per atom
- Final energy: -75.13 eV for the cell shown